First-principles (PBE) data for a relaxed Co8Ni6Ir crystal, as listed in Alexandria via LeMat-Bulk.

DOS(E_F) = 18.75 states/eV/cell
Calculated formation energy = 96 meV/atom
V = 172.46 Å³ per cell

Cell lengths 6.245, 6.245, 6.245 Å; angles 60.06, 60.06, 60.06 degrees
Element x y z (fractional)
1 Ni 0.277 0.531 0.065
2 Ni 0.065 0.277 0.531
3 Ni 0.935 0.723 0.469
4 Ni 0.723 0.469 0.935
5 Ni 0.531 0.065 0.277
6 Ni 0.469 0.935 0.723
7 Co 0.344 0.875 0.185
8 Co 0.875 0.185 0.344
9 Co 0.422 0.422 0.422
10 Co 0.815 0.656 0.125
11 Co 0.656 0.125 0.815
12 Co 0.578 0.578 0.578
13 Co 0.125 0.815 0.656
14 Co 0.185 0.344 0.875
15 Ir 0.000 0.000 0.000

First-principles (PBE) data for a relaxed CoNi2Ir crystal, as listed in Alexandria via LeMat-Bulk.

DOS(E_F) = 5.26 states/eV/cell
Calculated formation energy = 28 meV/atom
V = 48.20 Å³ per cell
Energy above the lowest structure with this stoichiometry = 3 meV per atom

Cell lengths 4.154, 2.614, 4.438 Å; angles 90.00, 90.00, 90.00 degrees
Element x y z (fractional)
1 Ir 0.500 0.625 0.791
2 Ni 0.000 0.125 0.965
3 Ni 0.500 0.125 0.290
4 Co 0.000 0.625 0.454

First-principles (PBE) data for a relaxed Co2Ni15Ir2 crystal, as listed in Alexandria via LeMat-Bulk.

DOS(E_F) = 28.51 states/eV/cell
Calculated formation energy = 252 meV/atom
V = 231.92 Å³ per cell

Cell lengths 6.218, 6.218, 6.218 Å; angles 80.71, 80.71, 80.71 degrees
Element x y z (fractional)
1 Ni 0.347 0.347 0.837
2 Ni 0.347 0.837 0.347
3 Ni 0.320 0.680 0.000
4 Ni 0.000 0.680 0.320
5 Ni 0.653 0.653 0.163
6 Ni 0.163 0.653 0.653
7 Ni 0.000 0.000 0.500
8 Ni 0.000 0.320 0.680
9 Ni 0.000 0.500 0.000
10 Ni 0.680 0.320 0.000
11 Ni 0.500 0.000 0.000
12 Ni 0.320 0.000 0.680
13 Ni 0.680 0.000 0.320
14 Ni 0.837 0.347 0.347
15 Ni 0.653 0.163 0.653
16 Ir 0.099 0.099 0.099
17 Ir 0.901 0.901 0.901
18 Co 0.690 0.690 0.690
19 Co 0.310 0.310 0.310

First-principles (PBE) data for a relaxed Co2NiIr crystal, as listed in Alexandria via LeMat-Bulk.

DOS(E_F) = 14.99 states/eV/cell
Calculated formation energy = 584 meV/atom
V = 104.76 Å³ per cell

Cell lengths 6.465, 6.465, 5.213 Å; angles 51.68, 51.68, 90.00 degrees
Element x y z (fractional)
1 Ir 0.000 0.000 0.000
2 Ir 0.750 0.250 0.500
3 Co 0.139 0.625 0.250
4 Co 0.611 0.125 0.250
5 Co 0.875 0.861 0.750
6 Co 0.375 0.389 0.750
7 Ni 0.500 0.500 0.000
8 Ni 0.250 0.750 0.500

First-principles (PBE) data for a relaxed Co3NiIr4 crystal, as listed in Alexandria via LeMat-Bulk.

DOS(E_F) = 11.61 states/eV/cell
Calculated formation energy = 354 meV/atom
V = 111.90 Å³ per cell

Cell lengths 2.629, 4.082, 11.970 Å; angles 61.39, 96.30, 90.00 degrees
Element x y z (fractional)
1 Co 0.787 0.090 0.574
2 Co 0.213 0.910 0.426
3 Co 0.000 0.500 0.000
4 Ir 0.599 0.226 0.198
5 Ir 0.401 0.774 0.802
6 Ir 0.331 0.472 0.661
7 Ir 0.669 0.528 0.339
8 Ni 0.500 0.000 0.000

First-principles (PBE) data for a relaxed Co5Ni3Ir3 crystal, as listed in Alexandria via LeMat-Bulk.

DOS(E_F) = 17.58 states/eV/cell
Calculated formation energy = 497 meV/atom
V = 148.08 Å³ per cell

Cell lengths 2.562, 8.169, 8.169 Å; angles 120.00, 90.00, 90.00 degrees
Element x y z (fractional)
1 Ni 0.500 0.839 0.000
2 Ni 0.500 0.000 0.839
3 Ni 0.500 0.161 0.161
4 Co 0.500 0.667 0.333
5 Co 0.500 0.669 0.669
6 Co 0.500 0.331 0.000
7 Co 0.500 0.333 0.667
8 Co 0.500 0.000 0.331
9 Ir 0.000 0.000 0.585
10 Ir 0.000 0.415 0.415
11 Ir 0.000 0.585 0.000

First-principles (PBE) data for a relaxed CoNiIr crystal, as listed in Alexandria via LeMat-Bulk.

DOS(E_F) = 5.36 states/eV/cell
Calculated formation energy = 242 meV/atom
V = 38.47 Å³ per cell
Energy above the lowest structure with this stoichiometry = 206 meV per atom

Cell lengths 6.770, 6.537, 2.601 Å; angles 83.80, 73.74, 22.45 degrees
Element x y z (fractional)
1 Ir 0.334 0.334 0.666
2 Ni 0.661 0.661 0.339
3 Co 0.004 0.004 0.996

First-principles (PBE) data for a relaxed CoNiIr3 crystal, as listed in Alexandria via LeMat-Bulk.

DOS(E_F) = 24.73 states/eV/cell
Calculated formation energy = 1875 meV/atom
V = 85.16 Å³ per cell
Energy above the lowest structure with this stoichiometry = 1712 meV per atom

Cell lengths 4.400, 4.400, 4.400 Å; angles 90.00, 90.00, 90.00 degrees
Element x y z (fractional)
1 Ir 0.500 0.000 0.000
2 Ir 0.000 0.000 0.500
3 Ir 0.000 0.500 0.000
4 Ni 0.000 0.000 0.000
5 Co 0.500 0.500 0.500

First-principles (PBE) data for a relaxed Co3Ni3Ir2 crystal, as listed in Alexandria via LeMat-Bulk.

DOS(E_F) = 21.95 states/eV/cell
Calculated formation energy = 173 meV/atom
V = 195.99 Å³ per cell

Cell lengths 4.044, 4.236, 13.020 Å; angles 90.00, 90.00, 118.51 degrees
Element x y z (fractional)
1 Ir 0.768 0.537 0.650
2 Ir 0.232 0.463 0.150
3 Ir 0.232 0.463 0.350
4 Ir 0.768 0.537 0.850
5 Ni 0.894 0.789 0.250
6 Ni 0.109 0.217 0.939
7 Ni 0.891 0.783 0.061
8 Ni 0.106 0.211 0.750
9 Ni 0.891 0.783 0.439
10 Ni 0.109 0.217 0.561
11 Co 0.443 0.886 0.750
12 Co 0.584 0.168 0.431
13 Co 0.416 0.832 0.931
14 Co 0.416 0.832 0.569
15 Co 0.557 0.114 0.250
16 Co 0.584 0.168 0.069

First-principles (PBE) data for a relaxed Co6Ni2Ir crystal, as listed in Alexandria via LeMat-Bulk.

DOS(E_F) = 9.25 states/eV/cell
Calculated formation energy = 72 meV/atom
V = 104.25 Å³ per cell
Energy above the lowest structure with this stoichiometry = 0 meV per atom

Cell lengths 4.728, 6.392, 6.392 Å; angles 65.96, 47.41, 47.41 degrees
Element x y z (fractional)
1 Co 0.836 0.500 0.832
2 Co 0.836 0.832 0.500
3 Co 0.164 0.168 0.500
4 Co 0.500 0.168 0.832
5 Co 0.500 0.832 0.168
6 Co 0.164 0.500 0.168
7 Ni 0.662 0.338 0.338
8 Ni 0.338 0.662 0.662
9 Ir 0.000 0.000 0.000

First-principles (PBE) data for a relaxed CoNi2Ir crystal, as listed in Alexandria via LeMat-Bulk.

DOS(E_F) = 5.03 states/eV/cell
Calculated formation energy = 25 meV/atom
V = 48.04 Å³ per cell
Energy above the lowest structure with this stoichiometry = 0 meV per atom

Cell lengths 2.593, 4.425, 5.153 Å; angles 125.65, 90.00, 90.00 degrees
Element x y z (fractional)
1 Ni 0.752 0.252 0.998
2 Ni 0.252 0.752 0.498
3 Ir 0.753 0.253 0.498
4 Co 0.253 0.753 0.998

First-principles (PBE) data for a relaxed Co2NiIr crystal, as listed in Alexandria via LeMat-Bulk.

DOS(E_F) = 6.09 states/eV/cell
Calculated formation energy = 139 meV/atom
V = 48.51 Å³ per cell

Cell lengths 4.924, 4.924, 4.924 Å; angles 148.14, 129.03, 61.38 degrees
Element x y z (fractional)
1 Ni 0.250 0.750 0.500
2 Ir 0.750 0.250 0.500
3 Co 0.010 0.010 0.000
4 Co 0.490 0.490 0.000

no.,uncorrected energy (eV/atom)
1,-6.5974
2,-6.8548
3,-5.9928
4,-6.6298
5,-7.4639
6,-6.7262
7,-7.0078
8,-6.0190
9,-6.8749
10,-6.9344
11,-6.8573
12,-7.0745